{
  "formula": "CoPdSO",
  "functional": "PBE+U",
  "state": "optimized geometry",
  "space_group": "No. 129",
  "de_polymorph_mev_per_atom": 153,
  "dft_energy_ev_per_cell": -40.849,
  "lattice": [[-3.2238, 0.8582, 1.4299], [-1.5648, -2.6330, -1.9476], [1.2974, -5.2779, 6.0929]],
  "species": ["Pd", "S", "Pd", "O", "Co", "Co", "S", "O"],
  "frac_coords": [[0.7500, 0.7500, 0.1452], [0.7500, 0.7500, 0.8292], [0.2500, 0.2500, 0.8548], [0.2500, 0.7500, 0.5000], [0.2500, 0.2500, 0.4415], [0.7500, 0.7500, 0.5585], [0.2500, 0.2500, 0.1708], [0.7500, 0.2500, 0.5000]]
}